[1]
Compound: TbHo3Ir2
Source: the Alexandria database
Functional: GGA-PBE
Structure: optimized geometry

a = 6.749 Å, b = 7.016 Å, c = 8.349 Å
α = 114.84°, β = 113.84°, γ = 90.00°
Atoms (fractional coordinates):
Ho (0.235, 0.485, 0.471)
Ir (0.574, 0.362, 0.723)
Ho (0.500, 0.750, 0.000)
Ir (0.149, 0.862, 0.723)
Ir (0.851, 0.138, 0.277)
Ir (0.426, 0.638, 0.277)
Tb (0.000, 0.000, 0.000)
Ho (0.765, 0.515, 0.529)
Tb (0.000, 0.500, 0.000)
Ho (0.235, 0.985, 0.471)
Ho (0.765, 0.015, 0.529)
Ho (0.500, 0.250, 0.000)

**Size of the total moment**: 0.00 μB/f.u.
**VASP energy**: -6.666 eV per atom

=====

[2]
Compound: BaCa7
Source: the Alexandria database
Functional: GGA-PBE
Structure: optimized geometry

a = 7.943 Å, b = 7.943 Å, c = 7.943 Å
α = 60.00°, β = 60.00°, γ = 60.00°
Atoms (fractional coordinates):
Ba (0.000, 0.000, 0.000)
Ca (0.500, 0.000, 0.500)
Ca (0.000, 0.000, 0.500)
Ca (0.000, 0.500, 0.500)
Ca (0.500, 0.000, 0.000)
Ca (0.500, 0.500, 0.000)
Ca (0.000, 0.500, 0.000)
Ca (0.500, 0.500, 0.500)

**Energy above the lowest structure with this stoichiometry**: 0 meV per atom
**Size of the total moment**: 0.00 μB/f.u.

=====

[3]
Compound: PrSc2Tl
Source: the Alexandria database
Functional: GGA-PBE
Structure: optimized geometry

a = 4.649 Å, b = 4.755 Å, c = 4.755 Å
α = 90.00°, β = 90.00°, γ = 90.00°
Each line ends with the local moment (μB).
Atoms (fractional coordinates):
Sc (0.000, 0.000, 0.500)  0.13
Sc (0.000, 0.500, 0.000)  0.13
Tl (0.500, 0.000, 0.000)  -0.01
Pr (0.500, 0.500, 0.500)  0.08

**Energy above the lowest structure with this stoichiometry**: 0 meV per atom
**Size of the total moment**: 0.53 μB/f.u.